The following is a DFT calculation (PBE-GGA) of Zn2IrBr after structural relaxation.

Properties
- E above lowest polymorph (eV/f.u.) = 2.182
- DOS at the Fermi energy (states/eV/cell) = 1.11
- VASP energy (eV/atom) = -2.805
- calculated density (Mg/m³) = 10.00

```
Zn2IrBr
1.0
-1.970 1.970 4.310
1.970 -1.970 4.310
1.970 1.970 -4.310
Zn Ir Br
2 1 1
direct
0.000 0.000 0.000
0.750 0.250 0.500
0.500 0.500 0.000
0.250 0.750 0.500
```

The following is a DFT calculation (PBE-GGA) of HfZr4Cd3 after structural relaxation.

Properties
- energy of formation from the pure elements (eV/atom) = -0.101
- DOS at the Fermi energy (states/eV/cell) = 8.63
- VASP energy (eV/atom) = -5.962
- calculated density (Mg/m³) = 8.27

```
HfZr4Cd3
1.0
3.167 0.000 0.000
0.000 3.167 0.000
0.000 0.000 17.633
Hf Zr Cd
1 4 3
direct
0.000 0.000 0.000
0.500 0.500 0.125
0.500 0.500 0.377
0.500 0.500 0.623
0.500 0.500 0.875
0.000 0.000 0.254
0.000 0.000 0.500
0.000 0.000 0.746
```

The following is a DFT calculation (PBE-GGA) of DyHoTcAg after structural relaxation.

Properties
- energy of formation from the pure elements (eV/atom) = -0.133
- DOS at the Fermi energy (states/eV/cell) = 2.93
- VASP energy (eV/atom) = -5.732
- calculated density (Mg/m³) = 10.28

```
DyHoTcAg
1.0
0.000 3.505 3.505
3.505 0.000 3.505
3.505 3.505 0.000
Dy Ho Tc Ag
1 1 1 1
direct
0.000 0.000 0.000
0.500 0.500 0.500
0.250 0.250 0.250
0.750 0.750 0.750
```

The following is a DFT calculation (PBE-GGA) of SrBiSe2 after structural relaxation.

Properties
- DOS at the Fermi energy (states/eV/cell) = 1.90
- VASP energy (eV/atom) = -4.053
- calculated density (Mg/m³) = 6.04

```
SrBiSe2
1.0
2.276 1.314 6.968
-2.276 1.314 6.968
0.000 -2.628 6.968
Sr Bi Se
1 1 2
direct
0.000 0.000 0.000
0.829 0.829 0.829
0.241 0.241 0.241
0.424 0.424 0.424
```

The following is a DFT calculation (PBE-GGA) of ReOsPd after structural relaxation.

Properties
- energy of formation from the pure elements (eV/atom) = 0.128
- E above lowest polymorph (eV/f.u.) = 0.206
- DOS at the Fermi energy (states/eV/cell) = 2.68
- VASP energy (eV/atom) = -9.496
- calculated density (Mg/m³) = 17.82

```
ReOsPd
1.0
-1.391 1.391 5.815
1.391 -1.391 5.815
1.391 1.391 -5.815
Re Os Pd
1 1 1
direct
0.000 0.000 0.000
0.647 0.647 0.000
0.325 0.325 0.000
```

The following is a DFT calculation (PBE-GGA) of Ti6GaGe3 after structural relaxation.

Properties
- energy of formation from the pure elements (eV/atom) = -0.593
- DOS at the Fermi energy (states/eV/cell) = 19.85
- VASP energy (eV/atom) = -7.018
- calculated density (Mg/m³) = 5.87

```
Ti6GaGe3
1.0
4.861 -4.822 0.000
4.861 4.822 0.000
0.000 0.000 6.936
Ti Ga Ge
12 2 6
direct
0.001 0.501 0.750
0.169 0.831 0.502
0.169 0.831 0.998
0.328 0.328 0.000
0.328 0.328 0.500
0.499 0.999 0.750
0.501 0.001 0.250
0.672 0.672 0.000
0.672 0.672 0.500
0.831 0.169 0.002
0.831 0.169 0.498
0.999 0.499 0.250
0.367 0.633 0.250
0.633 0.367 0.750
0.131 0.133 0.750
0.133 0.131 0.250
0.370 0.630 0.750
0.630 0.370 0.250
0.867 0.869 0.750
0.869 0.867 0.250
```

The following is a DFT calculation (PBE-GGA) of CdSbOs2 after structural relaxation.

Properties
- E above lowest polymorph (eV/f.u.) = 1.629
- DOS at the Fermi energy (states/eV/cell) = 4.57
- VASP energy (eV/atom) = -6.133
- calculated density (Mg/m³) = 13.02

```
CdSbOs2
1.0
1.449 -2.525 0.000
1.449 2.525 0.000
0.000 0.000 10.713
Cd Sb Os
1 1 2
direct
0.000 0.000 0.000
0.500 0.500 0.665
0.000 0.000 0.436
0.500 0.500 0.239
```

The following is a DFT calculation (PBE-GGA) of SmMn2Ni3 after structural relaxation.

Properties
- energy of formation from the pure elements (eV/atom) = -0.173
- DOS at the Fermi energy (states/eV/cell) = 4.17
- VASP energy (eV/atom) = -6.907
- calculated density (Mg/m³) = 8.01

```
SmMn2Ni3
1.0
5.140 0.000 0.000
-2.570 4.451 0.000
0.000 0.000 3.955
Sm Mn Ni
1 2 3
direct
0.000 0.000 0.000
0.333 0.667 0.000
0.667 0.333 0.000
0.000 0.500 0.500
0.500 0.000 0.500
0.500 0.500 0.500
```

The following is a DFT calculation (PBE-GGA) of K3LaTm2Te6 after structural relaxation.

Properties
- DOS at the Fermi energy (states/eV/cell) = 0.00
- VASP energy (eV/atom) = -4.410
- calculated density (Mg/m³) = 5.12

```
K3LaTm2Te6
1.0
3.931 -6.812 0.000
3.931 6.812 0.000
-2.629 0.000 8.235
K La Tm Te
3 1 2 6
direct
0.000 0.000 0.000
0.337 0.663 0.000
0.663 0.337 0.000
0.500 0.500 0.500
0.167 0.833 0.500
0.833 0.167 0.500
0.083 0.430 0.291
0.222 0.222 0.708
0.430 0.083 0.291
0.570 0.917 0.709
0.778 0.778 0.292
0.917 0.570 0.709
```

The following is a DFT calculation (PBE-GGA) of PmTm3Rh2 after structural relaxation.

Properties
- energy of formation from the pure elements (eV/atom) = -0.609
- E above lowest polymorph (eV/f.u.) = 0.401
- DOS at the Fermi energy (states/eV/cell) = 9.91
- VASP energy (eV/atom) = -6.087
- calculated density (Mg/m³) = 8.79

```
PmTm3Rh2
1.0
7.985 -2.124 0.000
7.985 2.124 0.000
-4.529 0.000 9.548
Pm Tm Rh
2 6 4
direct
0.056 0.056 0.211
0.944 0.944 0.789
0.213 0.213 0.595
0.331 0.331 0.975
0.426 0.426 0.333
0.574 0.574 0.667
0.669 0.669 0.025
0.787 0.787 0.405
0.139 0.139 0.843
0.381 0.381 0.578
0.619 0.619 0.422
0.861 0.861 0.157
```

The following is a DFT calculation (PBE-GGA) of TlGeMo2Rh after structural relaxation.

Properties
- energy of formation from the pure elements (eV/atom) = 2.516
- DOS at the Fermi energy (states/eV/cell) = 5.95
- VASP energy (eV/atom) = -4.684
- calculated density (Mg/m³) = 7.23

```
TlGeMo2Rh
1.0
5.143 0.000 0.000
0.000 5.143 0.000
0.000 0.000 4.967
Tl Ge Mo Rh
1 1 2 1
direct
0.000 0.000 0.000
0.000 0.000 0.500
0.000 0.500 0.000
0.500 0.000 0.000
0.500 0.500 0.500
```

The following is a DFT calculation (PBE-GGA) of ThCdP2Rh5 after structural relaxation.

Properties
- energy of formation from the pure elements (eV/atom) = -0.557
- DOS at the Fermi energy (states/eV/cell) = 4.46
- VASP energy (eV/atom) = -6.770
- calculated density (Mg/m³) = 9.02

```
ThCdP2Rh5
1.0
4.049 0.000 0.000
0.000 4.049 0.000
0.000 0.000 10.342
Th Cd P Rh
1 1 2 5
direct
0.000 0.000 0.000
0.000 0.000 0.500
0.500 0.500 0.220
0.500 0.500 0.780
0.000 0.500 0.314
0.000 0.500 0.686
0.500 0.000 0.314
0.500 0.000 0.686
0.500 0.500 0.000
```

- Which formula does entry 12 have?
  ThCdP2Rh5

- DOS at the Fermi energy of number 2 (HfZr4Cd3)?
  8.63 states/eV/cell